# 1
Computed, not measured: Nd2MgTl2 after structural relaxation at the PBE-GGA level of DFT.

Summary:
**Energy of formation**: -0.27 eV/atom
**Calculated density**: 8.21 g/cm³
**Density of states at the Fermi level**: 0.710 states/eV/atom
**SG**: Cmc2_1
**DFT total energy**: -3.4427 eV/atom

Structure (POSCAR):
```
Nd2MgTl2
1.0
-1.299 2.532 4.049
-6.388 -1.273 -1.253
1.185 -8.709 2.803
Nd Mg Tl
4 2 4
direct
0.991 0.788 0.982
0.798 0.370 0.597
0.202 0.870 0.403
0.009 0.288 0.018
0.390 0.062 0.780
0.610 0.562 0.220
0.414 0.531 0.828
0.814 0.883 0.629
0.186 0.383 0.371
0.586 0.031 0.172
```

# 2
Computed, not measured: Nd2YTm after structural relaxation at the PBE-GGA level of DFT.

Summary:
**Energy of formation**: 0.10 eV/atom
**Calculated density**: 6.78 g/cm³
**Density of states at the Fermi level**: 1.806 states/eV/atom
**SG**: Fm-3m
**DFT total energy**: -5.0181 eV/atom

Structure (POSCAR):
```
Nd2YTm
1.0
5.742 0.000 0.000
2.871 4.972 0.000
2.871 1.657 4.688
Y Tm Nd
1 1 2
direct
0.500 0.500 0.500
0.000 0.000 0.000
0.250 0.250 0.250
0.750 0.750 0.750
```

# 3
Computed, not measured: MgCdAg2Au2 after structural relaxation at the PBE-GGA level of DFT.

Summary:
**Energy of formation**: -0.04 eV/atom
**Calculated density**: 9.98 g/cm³
**Density of states at the Fermi level**: 0.359 states/eV/atom
**SG**: R-3m
**DFT total energy**: -2.5049 eV/atom

Structure (POSCAR):
```
MgCdAg2Au2
1.0
4.531 0.000 0.000
2.265 3.924 0.000
2.265 1.308 6.989
Mg Cd Ag Au
1 1 2 2
direct
0.000 0.000 0.000
0.500 0.500 0.500
0.631 0.631 0.108
0.369 0.369 0.892
0.766 0.766 0.703
0.234 0.234 0.297
```

# 4
Computed, not measured: LaZnTc2 after structural relaxation at the PBE-GGA level of DFT.

Summary:
**Energy of formation**: 0.50 eV/atom
**Calculated density**: 9.51 g/cm³
**Density of states at the Fermi level**: 0.938 states/eV/atom
**SG**: Cmmm
**DFT total energy**: -6.2380 eV/atom

Structure (POSCAR):
```
LaZnTc2
1.0
2.979 0.003 0.000
-1.216 2.720 0.000
0.000 0.000 8.622
La Tc Zn
1 2 1
direct
0.500 0.500 0.750
0.000 0.000 0.015
0.000 0.000 0.485
0.500 0.500 0.250
```

# 5
Computed, not measured: CsBeCl2 after structural relaxation at the PBE-GGA level of DFT.

Summary:
**E_form (uncorrected)**: -0.86 eV per atom
**Calculated density**: 1.92 g/cm³
**Density of states at the Fermi level**: 0.533 states/eV/atom
**SG**: R-3m
**DFT total energy**: -2.9286 eV/atom

Structure (POSCAR):
```
CsBeCl2
1.0
-0.641 -2.842 6.442
1.947 -6.320 2.501
4.881 -1.795 4.789
Cs Be Cl
1 1 2
direct
0.500 0.500 0.500
0.000 0.000 0.000
0.899 0.899 0.899
0.101 0.101 0.101
```

# 6
Computed, not measured: Li2AcUS6 after structural relaxation at the PBE-GGA level of DFT.

Summary:
**E_form (uncorrected)**: -1.30 eV per atom
**Calculated density**: 5.00 g/cm³
**Density of states at the Fermi level**: 0.249 states/eV/atom
**SG**: P2_1/c
**DFT total energy**: -5.6976 eV/atom

Structure (POSCAR):
```
Li2AcUS6
1.0
7.731 0.000 -0.258
0.000 5.360 0.000
-0.322 0.000 10.765
Li Ac U S
4 2 2 12
direct
0.923 0.005 0.260
0.423 0.495 0.760
0.077 0.995 0.740
0.577 0.505 0.240
0.500 0.000 0.000
0.000 0.500 0.500
0.500 0.000 0.500
0.000 0.500 0.000
0.331 0.506 0.077
0.831 0.994 0.577
0.669 0.494 0.923
0.169 0.006 0.423
0.402 0.517 0.429
0.902 0.983 0.929
0.598 0.483 0.571
0.098 0.017 0.071
0.901 0.513 0.228
0.401 0.987 0.728
0.099 0.487 0.772
0.599 0.013 0.272
```